A relaxed structure of Hf4Pa. Source: Alexandria via LeMat-Bulk, functional PBE.

The structure in extended XYZ format:
```
5
Lattice="5.110 0.000 0.000 0.000 5.110 0.000 0.000 0.000 5.110" Properties=species:S:1:pos:R:3 pbc="T T T"
Hf 0.000 0.000 0.000
Hf 0.000 2.555 2.555
Hf 2.555 0.000 2.555
Hf 2.555 2.555 0.000
Pa 2.555 2.555 2.555
```

Calculated values
Energy relative to the lowest polymorph listed for this composition   1244 meV/atom
Total moment   0.00 μB per formula unit
ρ   11.8 g/cm3
DOS at the Fermi energy   5.378 states/eV/f.u.
ΔE_f   1304 meV/atom

A relaxed structure of Hf3Pa13. Source: Alexandria via LeMat-Bulk, functional PBE.

The structure in extended XYZ format:
```
16
Lattice="8.938 0.000 0.000 0.000 4.744 4.652 0.000 -4.744 4.652" Properties=species:S:1:pos:R:3 pbc="T T T"
Hf 0.000 0.000 0.000
Hf 2.191 0.000 2.147
Hf 6.748 0.000 2.147
Pa 0.000 0.000 4.503
Pa 0.000 -2.347 6.892
Pa 0.000 2.347 6.892
Pa 2.222 -2.363 4.515
Pa 2.222 2.363 4.515
Pa 2.229 0.000 6.882
Pa 4.469 -2.418 6.862
Pa 4.469 0.000 4.502
Pa 4.469 0.000 9.212
Pa 4.469 2.418 6.862
Pa 6.716 -2.363 4.515
Pa 6.716 2.363 4.515
Pa 6.709 0.000 6.882
```

Calculated values
Total moment   0.00 μB per formula unit
ρ   14.9 g/cm3
DOS at the Fermi energy   26.343 states/eV/f.u.
ΔE_f   48 meV/atom